A geometry-optimized LaDy5In3 structure. Source: the Alexandria database, functional PBE.

* ΔE_f: -0.348 eV per atom

Cell: 9.4102 9.4102 6.7830 Å, 90.00 90.00 120.00°
Atoms (fractional coordinates):
La: 0.0000 0.0000 0.0000
La: 0.0000 0.0000 0.5000
Dy: 0.0000 0.3294 0.2500
Dy: 0.0000 0.6706 0.7500
Dy: 0.3294 0.0000 0.2500
Dy: 0.3294 0.3294 0.7500
Dy: 0.3333 0.6667 0.0000
Dy: 0.3333 0.6667 0.5000
Dy: 0.6667 0.3333 0.0000
Dy: 0.6667 0.3333 0.5000
Dy: 0.6706 0.0000 0.7500
Dy: 0.6706 0.6706 0.2500
In: 0.0000 0.3421 0.7500
In: 0.0000 0.6579 0.2500
In: 0.3421 0.0000 0.7500
In: 0.3421 0.3421 0.2500
In: 0.6579 0.0000 0.2500
In: 0.6579 0.6579 0.7500